No. 1
Compound: TcHNF2
Source: the Alexandria database
Functional: PBE
Structure: optimized geometry

Lattice parameters (Å, degrees): 3.002 3.002 4.799 90.00 90.00 90.00
Site moments in Bohr magnetons follow the coordinates.
Positions (direct):
H 0.000 0.000 0.000  0.00
N 0.000 0.000 0.500  -0.18
Tc 0.500 0.500 0.500  1.64
F 0.000 0.500 0.000  0.12
F 0.500 0.000 0.000  0.12

Output
Fermi-level density of states, states/eV per cell: 2.27
Electronic total energy, eV/cell: -25.6

No. 2
Compound: TcHN2F
Source: the Alexandria database
Functional: PBE
Structure: optimized geometry

Lattice parameters (Å, degrees): 3.247 3.247 3.643 90.00 90.00 90.00
Site moments in Bohr magnetons follow the coordinates.
Positions (direct):
H 0.000 0.000 0.000  0.00
N 0.000 0.500 0.000  -0.04
N 0.500 0.000 0.000  -0.04
Tc 0.500 0.500 0.500  1.59
F 0.000 0.000 0.500  0.03

Output
Fermi-level density of states, states/eV per cell: 3.27
Electronic total energy, eV/cell: -25.9

No. 3
Compound: TiHNF2
Source: the Alexandria database
Functional: PBE
Structure: optimized geometry

Lattice parameters (Å, degrees): 3.939 3.939 3.897 90.00 90.00 90.00
Site moments in Bohr magnetons follow the coordinates.
Positions (direct):
H 0.500 0.500 0.500  0.33
N 0.000 0.000 0.500  -0.62
F 0.000 0.500 0.000  -0.01
F 0.500 0.000 0.000  -0.01
Ti 0.000 0.000 0.000  0.14

Output
Fermi-level density of states, states/eV per cell: 1.90
Electronic total energy, eV/cell: -28.8

Among the records above, which one has the highest electronic total energy?
TcHNF2